(1)
# Ta2OsPb, optimized geometry, DFT PBE-GGA
data_Ta2OsPb
_chemical_formula_sum 'Ta8 Os4 Pb4'
_cell_length_a 6.642
_cell_length_b 6.642
_cell_length_c 6.642
_cell_angle_alpha 90.00
_cell_angle_beta 90.00
_cell_angle_gamma 90.00
_space_group_name_H-M_alt 'F -4 3 m'
_space_group_IT_number 216
_space_group_name_Hall 'F -4 2 3'
loop_
_atom_site_label
_atom_site_fract_x
_atom_site_fract_y
_atom_site_fract_z
_atom_site_occupancy
Ta1 0.000 0.000 0.000 1
Ta2 0.250 0.250 0.250 1
Os1 0.250 0.250 0.750 1
Pb1 0.000 0.000 0.500 1
# V = 18.3 Å³/atom
# electronic total energy = -0.3351 hartree per atom
# size of the total moment = 0.005 μB/f.u.
# crystal system = cubic

---

(2)
# TlSiAu3, optimized geometry, DFT PBE-GGA
data_TlSiAu3
_chemical_formula_sum 'Tl2 Si2 Au6'
_cell_length_a 4.587
_cell_length_b 6.945
_cell_length_c 7.024
_cell_angle_alpha 90.00
_cell_angle_beta 90.00
_cell_angle_gamma 90.00
_space_group_name_H-M_alt 'A m m 2'
_space_group_IT_number 38
_space_group_name_Hall 'A 2 -2'
loop_
_atom_site_label
_atom_site_fract_x
_atom_site_fract_y
_atom_site_fract_z
_atom_site_occupancy
Tl1 0.000 0.000 0.000 1
Si1 0.500 0.000 0.615 1
Au1 0.000 0.000 0.475 1
Au2 0.500 0.208 0.298 1
# V = 22.4 Å³/atom
# electronic total energy = -0.1325 hartree per atom
# crystal system = orthorhombic

---

(3)
# LiPrDy, optimized geometry, DFT PBE-GGA
data_LiPrDy
_chemical_formula_sum 'Li4 Pr4 Dy4'
_cell_length_a 7.220
_cell_length_b 7.220
_cell_length_c 7.220
_cell_angle_alpha 90.00
_cell_angle_beta 90.00
_cell_angle_gamma 90.00
_space_group_name_H-M_alt 'F -4 3 m'
_space_group_IT_number 216
_space_group_name_Hall 'F -4 2 3'
loop_
_atom_site_label
_atom_site_fract_x
_atom_site_fract_y
_atom_site_fract_z
_atom_site_occupancy
Li1 0.000 0.000 0.000 1
Pr1 0.250 0.250 0.250 1
Dy1 0.250 0.250 0.750 1
# V = 31.4 Å³/atom
# electronic total energy = -0.1206 hartree per atom
# size of the total moment = 0.022 μB/f.u.
# crystal system = cubic
# polymorph energy (0 for the lowest one) = 0 meV per atom

---

(4)
# TbDyNi2B2P2, optimized geometry, DFT PBE-GGA
data_TbDyNi2B2P2
_chemical_formula_sum 'Tb1 Dy1 Ni2 B2 P2'
_cell_length_a 3.897
_cell_length_b 3.897
_cell_length_c 7.846
_cell_angle_alpha 90.00
_cell_angle_beta 90.00
_cell_angle_gamma 90.00
_space_group_name_H-M_alt 'P 4 m m'
_space_group_IT_number 99
_space_group_name_Hall 'P 4 -2'
loop_
_atom_site_label
_atom_site_fract_x
_atom_site_fract_y
_atom_site_fract_z
_atom_site_occupancy
Tb1 0.000 0.000 0.000 1
Dy1 0.500 0.500 0.412 1
Ni1 0.000 0.500 0.706 1
B1 0.000 0.000 0.613 1
B2 0.500 0.500 0.800 1
P1 0.000 0.000 0.365 1
P2 0.500 0.500 0.049 1
# V = 14.9 Å³/atom
# electronic total energy = -0.2322 hartree per atom
# size of the total moment = 0.012 μB/f.u.
# crystal system = tetragonal

---

(5)
# AgPbSF, optimized geometry, DFT PBE-GGA
data_AgPbSF
_chemical_formula_sum 'Ag8 Pb8 S8 F8'
_cell_length_a 8.460
_cell_length_b 17.312
_cell_length_c 4.711
_cell_angle_alpha 90.00
_cell_angle_beta 90.00
_cell_angle_gamma 90.00
_space_group_name_H-M_alt 'P b a m'
_space_group_IT_number 55
_space_group_name_Hall '-P 2 2ab'
loop_
_atom_site_label
_atom_site_fract_x
_atom_site_fract_y
_atom_site_fract_z
_atom_site_occupancy
Ag1 0.052 0.110 0.000 1
Ag2 0.068 0.626 0.000 1
Pb1 0.232 0.257 0.500 1
Pb2 0.245 0.488 0.500 1
S1 0.003 0.874 0.500 1
S2 0.007 0.624 0.500 1
F1 0.175 0.258 0.000 1
F2 0.229 0.466 0.000 1
# V = 21.6 Å³/atom
# electronic total energy = -0.1494 hartree per atom
# crystal system = orthorhombic
# polymorph energy (0 for the lowest one) = 84 meV per atom

---

(6)
# AgIrOs2, optimized geometry, DFT PBE-GGA
data_AgIrOs2
_chemical_formula_sum 'Ag4 Ir4 Os8'
_cell_length_a 6.262
_cell_length_b 6.262
_cell_length_c 6.262
_cell_angle_alpha 90.00
_cell_angle_beta 90.00
_cell_angle_gamma 90.00
_space_group_name_H-M_alt 'F -4 3 m'
_space_group_IT_number 216
_space_group_name_Hall 'F -4 2 3'
loop_
_atom_site_label
_atom_site_fract_x
_atom_site_fract_y
_atom_site_fract_z
_atom_site_occupancy
Ag1 0.000 0.000 0.000 1
Ir1 0.250 0.250 0.750 1
Os1 0.000 0.000 0.500 1
Os2 0.250 0.250 0.250 1
# V = 15.3 Å³/atom
# electronic total energy = -0.2827 hartree per atom
# size of the total moment = 1.864 μB/f.u.
# formation energy = 0.840 eV per atom
# crystal system = cubic